# PBE-GGA Rb2AgRhO4, relaxed
data_Rb2AgRhO4
_space_group_name_H-M_alt 'I -4'
_space_group_IT_number 82
_cell_length_a 6.5019
_cell_length_b 6.5019
_cell_length_c 7.4122
_cell_angle_alpha 90.00
_cell_angle_beta 90.00
_cell_angle_gamma 90.00
loop_
_space_group_symop_operation_xyz
'x,y,z'
'y,-x,-z'
'-x,-y,z'
'-y,x,-z'
'x+1/2,y+1/2,z+1/2'
'y+1/2,-x+1/2,-z+1/2'
'-x+1/2,-y+1/2,z+1/2'
'-y+1/2,x+1/2,-z+1/2'
loop_
_atom_site_label
_atom_site_fract_x
_atom_site_fract_y
_atom_site_fract_z
Rb1 0.0000 0.0000 0.0000
Rb2 0.0000 0.5000 0.2500
Ag1 0.0000 0.5000 0.7500
Rh1 0.0000 0.0000 0.5000
O1 0.1360 0.2020 0.6372
# Total DFT energy (no corrections) = -4.76 eV per atom
# Mass density = 4.724 g cm⁻³
# Calculated volume = 19.6 Å³ per atom